Computed, not measured: an optimized crystal structure of Sm2GePb at the PBE level of DFT.

- Theoretical density: 8.7 g cm⁻³
- Final energy: -5.097 eV/atom

The structure in POSCAR format:
```
Sm2GePb
1.0
4.2430 0.0000 0.0000
0.0000 2.2734 5.7299
0.0000 -2.2734 5.7299
Sm Ge Pb
2 1 1
Cartesian
0.0000 0.0000 0.0000
2.1215 0.0000 3.1440
2.1215 0.0000 6.1615
0.0000 0.0000 8.2506
```